Material: HfAl3Tl
Method: DFT, PBE-GGA
State: optimized geometry

Calculated values
Energy of formation (eV per atom): 0.800

a = 5.342 Å, b = 5.342 Å, c = 5.342 Å
α = 90.00°, β = 90.00°, γ = 90.00°
Sites, in units of the cell vectors:
Al: 0.500 0.000 0.000
Al: 0.000 0.000 0.500
Al: 0.000 0.500 0.000
Hf: 0.000 0.000 0.000
Tl: 0.500 0.500 0.500

***

Material: Ba2Au2I
Method: DFT, PBE-GGA
State: optimized geometry

Calculated values
E_form (uncorrected) (eV/atom): -0.94

a = 9.099 Å, b = 9.099 Å, c = 4.240 Å
α = 90.00°, β = 90.00°, γ = 90.00°
Sites, in units of the cell vectors:
Ba: 0.680 0.820 0.500
Ba: 0.820 0.320 0.500
Ba: 0.180 0.680 0.500
Au: 0.612 0.112 0.000
Au: 0.888 0.612 0.000
Au: 0.112 0.388 0.000
I: 0.000 0.000 0.000
I: 0.500 0.500 0.000
Au: 0.388 0.888 0.000
Ba: 0.320 0.180 0.500

***

Material: LaGdGaPb
Method: DFT, PBE-GGA
State: optimized geometry

Calculated values
Energy of formation (eV per atom): -0.490

a = 5.428 Å, b = 5.428 Å, c = 5.428 Å
α = 60.00°, β = 60.00°, γ = 60.00°
Last column: magnetic moment on the atom in μB.
Sites, in units of the cell vectors:
Pb: 0.750 0.750 0.750  -0.02
Gd: 0.000 0.000 0.000  7.03
Ga: 0.250 0.250 0.250  -0.02
La: 0.500 0.500 0.500  0.01

***

Material: Ce2LuC
Method: DFT, PBE-GGA
State: optimized geometry

Calculated values
Energy of formation (eV per atom): 0.139

a = 3.215 Å, b = 3.215 Å, c = 8.681 Å
α = 90.00°, β = 90.00°, γ = 90.00°
Sites, in units of the cell vectors:
Ce: 0.000 0.000 0.843
Ce: 0.000 0.000 0.157
C: 0.500 0.500 0.000
Lu: 0.500 0.500 0.500

***

What did we get for volume? Answer: 30.49 35.10 28.27 22.43 Å³/atom, in the order shown.
What did we get for magnetic moment? Answer: 0.0 0.0 7.1 0.0 μB/f.u., in the order shown.